# La2MgFeO6, optimized geometry, DFT PBE with a Hubbard U
data_La2MgFeO6
_chemical_formula_sum 'La2 Mg1 Fe1 O6'
_space_group_name_H-M_alt 'P 1'
_space_group_IT_number 1
_cell_length_a 5.4519
_cell_length_b 5.4747
_cell_length_c 5.4985
_cell_angle_alpha 61.06
_cell_angle_beta 61.22
_cell_angle_gamma 61.32
loop_
_space_group_symop_operation_xyz
'x,y,z'
loop_
_atom_site_label
_atom_site_type_symbol
_atom_site_fract_x
_atom_site_fract_y
_atom_site_fract_z
La1 La 0.2502 0.2477 0.2480
La2 La 0.7498 0.7523 0.7520
Mg1 Mg 0.5000 0.5000 0.5000
Fe1 Fe 0.0000 0.0000 0.0000
O1 O 0.1745 0.3059 0.7678
O2 O 0.2422 0.8252 0.6912
O3 O 0.3037 0.7604 0.1784
O4 O 0.6963 0.2396 0.8216
O5 O 0.7578 0.1748 0.3088
O6 O 0.8255 0.6941 0.2322
# - SG = No. 2
# - DFT total energy (eV per cell) = -72.79
# - crystal system = triclinic